<one>
VASP calculation (PBE) on a relaxed structure of PrTm4Tl.

Geometry as CIF:
```
data_PrTm4Tl
_space_group_name_H-M_alt 'P 1'
_space_group_IT_number 1
_space_group_name_Hall 'P 1'
_cell_length_a 3.5768
_cell_length_b 3.5768
_cell_length_c 14.1192
_cell_angle_alpha 90.00
_cell_angle_beta 90.00
_cell_angle_gamma 90.00
loop_
_atom_site_label
_atom_site_type_symbol
_atom_site_fract_x
_atom_site_fract_y
_atom_site_fract_z
Pr1 Pr 0.0000 0.0000 0.0000
Tm1 Tm 0.5000 0.5000 0.1811
Tm2 Tm 0.0000 0.0000 0.6479
Tm3 Tm 0.0000 0.0000 0.3521
Tm4 Tm 0.5000 0.5000 0.8189
Tl1 Tl 0.5000 0.5000 0.5000
```

=====

<two>
VASP calculation (PBE) on a relaxed structure of PrTm4Tl.

Geometry as CIF:
```
data_PrTm4Tl
_space_group_name_H-M_alt 'P 1'
_space_group_IT_number 1
_space_group_name_Hall 'P 1'
_cell_length_a 5.3809
_cell_length_b 6.7206
_cell_length_c 11.4055
_cell_angle_alpha 90.00
_cell_angle_beta 103.64
_cell_angle_gamma 90.00
loop_
_atom_site_label
_atom_site_type_symbol
_atom_site_fract_x
_atom_site_fract_y
_atom_site_fract_z
Pr1 Pr 0.8716 0.7308 0.7431
Pr2 Pr 0.1284 0.2308 0.2569
Tm1 Tm 0.8588 0.2377 0.7175
Tm2 Tm 0.1412 0.7377 0.2825
Tm3 Tm 0.4517 0.0319 0.9034
Tm4 Tm 0.5483 0.5319 0.0966
Tm5 Tm 0.6972 0.4793 0.3944
Tm6 Tm 0.3028 0.9793 0.6056
Tm7 Tm 0.7255 0.9783 0.4510
Tm8 Tm 0.2745 0.4783 0.5490
Tl1 Tl 0.5866 0.9753 0.1733
Tl2 Tl 0.4134 0.4753 0.8267
```

=====

The energy of each structure relative to the most stable one, in meV/atom, is as follows: <one> 0; <two> 204.

=====

<one>
VASP calculation (PBE) on a relaxed structure of PrTm2Tl.

Geometry as CIF:
```
data_PrTm2Tl
_space_group_name_H-M_alt 'P 1'
_space_group_IT_number 1
_space_group_name_Hall 'P 1'
_cell_length_a 4.8433
_cell_length_b 4.7313
_cell_length_c 11.1093
_cell_angle_alpha 102.34
_cell_angle_beta 90.00
_cell_angle_gamma 90.00
loop_
_atom_site_label
_atom_site_type_symbol
_atom_site_fract_x
_atom_site_fract_y
_atom_site_fract_z
Pr1 Pr 0.2500 0.3086 0.6170
Pr2 Pr 0.7500 0.6914 0.3830
Tm1 Tm 0.7500 0.4444 0.8886
Tm2 Tm 0.2500 0.5556 0.1114
Tm3 Tm 0.2500 0.9375 0.8749
Tm4 Tm 0.7500 0.0625 0.1251
Tl1 Tl 0.7500 0.8395 0.6793
Tl2 Tl 0.2500 0.1605 0.3207
```

=====

<two>
VASP calculation (PBE) on a relaxed structure of PrTm2Tl.

Geometry as CIF:
```
data_PrTm2Tl
_space_group_name_H-M_alt 'P 1'
_space_group_IT_number 1
_space_group_name_Hall 'P 1'
_cell_length_a 5.4754
_cell_length_b 5.4754
_cell_length_c 5.4754
_cell_angle_alpha 60.00
_cell_angle_beta 60.00
_cell_angle_gamma 60.00
loop_
_atom_site_label
_atom_site_type_symbol
_atom_site_fract_x
_atom_site_fract_y
_atom_site_fract_z
Pr1 Pr 0.0000 0.0000 0.0000
Tl1 Tl 0.5000 0.5000 0.5000
Tm1 Tm 0.2500 0.2500 0.2500
Tm2 Tm 0.7500 0.7500 0.7500
```

=====

<three>
VASP calculation (PBE) on a relaxed structure of PrTm2Tl.

Geometry as CIF:
```
data_PrTm2Tl
_space_group_name_H-M_alt 'P 1'
_space_group_IT_number 1
_space_group_name_Hall 'P 1'
_cell_length_a 3.5977
_cell_length_b 3.5977
_cell_length_c 11.1570
_cell_angle_alpha 80.72
_cell_angle_beta 80.72
_cell_angle_gamma 60.00
loop_
_atom_site_label
_atom_site_type_symbol
_atom_site_fract_x
_atom_site_fract_y
_atom_site_fract_z
Pr1 Pr 0.4999 0.4999 0.5002
Tm1 Tm 0.0769 0.0769 0.7692
Tm2 Tm 0.2567 0.2567 0.2300
Tl1 Tl 0.6665 0.6665 0.0005
```

=====

The energy of each structure relative to the most stable one, in meV/atom, is as follows: <one> 0; <two> 194; <three> 79.

=====

<one>
VASP calculation (PBE) on a relaxed structure of PrTm2Tl.

Geometry as CIF:
```
data_PrTm2Tl
_space_group_name_H-M_alt 'P 1'
_space_group_IT_number 1
_space_group_name_Hall 'P 1'
_cell_length_a 4.8160
_cell_length_b 4.9100
_cell_length_c 4.9100
_cell_angle_alpha 90.00
_cell_angle_beta 90.00
_cell_angle_gamma 90.00
loop_
_atom_site_label
_atom_site_type_symbol
_atom_site_fract_x
_atom_site_fract_y
_atom_site_fract_z
Pr1 Pr 0.5000 0.5000 0.5000
Tl1 Tl 0.5000 0.0000 0.0000
Tm1 Tm 0.0000 0.0000 0.5000
Tm2 Tm 0.0000 0.5000 0.0000
```

=====

<two>
VASP calculation (PBE) on a relaxed structure of PrTm2Tl.

Geometry as CIF:
```
data_PrTm2Tl
_space_group_name_H-M_alt 'P 1'
_space_group_IT_number 1
_space_group_name_Hall 'P 1'
_cell_length_a 4.6572
_cell_length_b 6.6698
_cell_length_c 8.6215
_cell_angle_alpha 90.00
_cell_angle_beta 90.00
_cell_angle_gamma 110.44
loop_
_atom_site_label
_atom_site_type_symbol
_atom_site_fract_x
_atom_site_fract_y
_atom_site_fract_z
Pr1 Pr 0.9434 0.8868 0.2500
Pr2 Pr 0.0566 0.1132 0.7500
Tm1 Tm 0.3641 0.7283 0.5515
Tm2 Tm 0.6359 0.2717 0.4485
Tm3 Tm 0.3641 0.7283 0.9485
Tm4 Tm 0.6359 0.2717 0.0515
Tl1 Tl 0.7688 0.5379 0.7500
Tl2 Tl 0.2312 0.4621 0.2500
```

=====

The energy of each structure relative to the most stable one, in meV/atom, is as follows: <one> 0; <two> 62.

=====

<one>
VASP calculation (PBE) on a relaxed structure of Pr2TmTl4.

Geometry as CIF:
```
data_Pr2TmTl4
_space_group_name_H-M_alt 'P 1'
_space_group_IT_number 1
_space_group_name_Hall 'P 1'
_cell_length_a 5.7216
_cell_length_b 5.7216
_cell_length_c 8.9888
_cell_angle_alpha 108.56
_cell_angle_beta 108.56
_cell_angle_gamma 90.00
loop_
_atom_site_label
_atom_site_type_symbol
_atom_site_fract_x
_atom_site_fract_y
_atom_site_fract_z
Pr1 Pr 0.6081 0.6081 0.2162
Pr2 Pr 0.3919 0.3919 0.7838
Tm1 Tm 0.0000 0.0000 0.0000
Tl1 Tl 0.8101 0.8101 0.6201
Tl2 Tl 0.1899 0.1899 0.3799
Tl3 Tl 0.0000 0.5000 0.0000
Tl4 Tl 0.5000 0.0000 0.0000
```

=====

<two>
VASP calculation (PBE) on a relaxed structure of Pr2TmTl4.

Geometry as CIF:
```
data_Pr2TmTl4
_space_group_name_H-M_alt 'P 1'
_space_group_IT_number 1
_space_group_name_Hall 'P 1'
_cell_length_a 5.3244
_cell_length_b 5.3244
_cell_length_c 8.5160
_cell_angle_alpha 108.22
_cell_angle_beta 108.22
_cell_angle_gamma 90.00
loop_
_atom_site_label
_atom_site_type_symbol
_atom_site_fract_x
_atom_site_fract_y
_atom_site_fract_z
Pr1 Pr 0.7498 0.7498 0.4996
Pr2 Pr 0.2502 0.2502 0.5004
Tm1 Tm 0.0000 0.0000 0.0000
Tl1 Tl 0.3908 0.8908 0.7816
Tl2 Tl 0.8908 0.3908 0.7816
Tl3 Tl 0.6092 0.1092 0.2184
Tl4 Tl 0.1092 0.6092 0.2184
```

=====

The energy of each structure relative to the most stable one, in meV/atom, is as follows: <one> 340; <two> 0.

=====

<one>
VASP calculation (PBE) on a relaxed structure of Pr4TmTl2.

Geometry as CIF:
```
data_Pr4TmTl2
_space_group_name_H-M_alt 'P 1'
_space_group_IT_number 1
_space_group_name_Hall 'P 1'
_cell_length_a 5.6440
_cell_length_b 5.6440
_cell_length_c 9.6016
_cell_angle_alpha 72.91
_cell_angle_beta 72.91
_cell_angle_gamma 60.00
loop_
_atom_site_label
_atom_site_type_symbol
_atom_site_fract_x
_atom_site_fract_y
_atom_site_fract_z
Pr1 Pr 0.3697 0.3697 0.8908
Pr2 Pr 0.2310 0.2310 0.3070
Pr3 Pr 0.7690 0.7690 0.6930
Pr4 Pr 0.6303 0.6303 0.1092
Tm1 Tm 0.0000 0.0000 0.0000
Tl1 Tl 0.1122 0.1122 0.6634
Tl2 Tl 0.8878 0.8878 0.3366
```

=====

<two>
VASP calculation (PBE) on a relaxed structure of Pr4TmTl2.

Geometry as CIF:
```
data_Pr4TmTl2
_space_group_name_H-M_alt 'P 1'
_space_group_IT_number 1
_space_group_name_Hall 'P 1'
_cell_length_a 6.3822
_cell_length_b 6.3815
_cell_length_c 8.7763
_cell_angle_alpha 112.51
_cell_angle_beta 112.51
_cell_angle_gamma 114.11
loop_
_atom_site_label
_atom_site_type_symbol
_atom_site_fract_x
_atom_site_fract_y
_atom_site_fract_z
Pr1 Pr 0.7058 0.2942 0.5000
Pr2 Pr 0.2942 0.7058 0.5000
Pr3 Pr 0.5000 0.0000 0.0000
Pr4 Pr 0.0000 0.5000 0.0000
Tm1 Tm 0.0000 0.0000 0.0000
Tl1 Tl 0.6899 0.6899 0.2672
Tl2 Tl 0.3101 0.3101 0.7328
```

=====

The energy of each structure relative to the most stable one, in meV/atom, is as follows: <one> 0; <two> 64.

=====

<one>
VASP calculation (PBE) on a relaxed structure of Pr6TmTl2.

Geometry as CIF:
```
data_Pr6TmTl2
_space_group_name_H-M_alt 'P 1'
_space_group_IT_number 1
_space_group_name_Hall 'P 1'
_cell_length_a 3.8482
_cell_length_b 6.8835
_cell_length_c 12.2098
_cell_angle_alpha 74.31
_cell_angle_beta 80.93
_cell_angle_gamma 73.77
loop_
_atom_site_label
_atom_site_type_symbol
_atom_site_fract_x
_atom_site_fract_y
_atom_site_fract_z
Pr1 Pr 0.6781 0.5210 0.1229
Pr2 Pr 0.3219 0.4790 0.8771
Pr3 Pr 0.3052 0.7939 0.5957
Pr4 Pr 0.9782 0.7006 0.3430
Pr5 Pr 0.0218 0.2994 0.6570
Pr6 Pr 0.6948 0.2061 0.4043
Tm1 Tm 0.0000 0.0000 0.0000
Tl1 Tl 0.3639 0.0843 0.1880
Tl2 Tl 0.6361 0.9157 0.8120
```

=====

<two>
VASP calculation (PBE) on a relaxed structure of Pr6TmTl2.

Geometry as CIF:
```
data_Pr6TmTl2
_space_group_name_H-M_alt 'P 1'
_space_group_IT_number 1
_space_group_name_Hall 'P 1'
_cell_length_a 6.0451
_cell_length_b 10.0855
_cell_length_c 10.0855
_cell_angle_alpha 72.40
_cell_angle_beta 82.67
_cell_angle_gamma 82.67
loop_
_atom_site_label
_atom_site_type_symbol
_atom_site_fract_x
_atom_site_fract_y
_atom_site_fract_z
Pr1 Pr 0.4653 0.6726 0.4446
Pr2 Pr 0.0347 0.5554 0.3274
Pr3 Pr 0.5347 0.3274 0.5554
Pr4 Pr 0.9653 0.4446 0.6726
Pr5 Pr 0.6656 0.1136 0.3607
Pr6 Pr 0.8344 0.6393 0.8864
Pr7 Pr 0.3344 0.8864 0.6393
Pr8 Pr 0.1656 0.3607 0.1136
Pr9 Pr 0.3021 0.7764 0.9973
Pr10 Pr 0.1979 0.0027 0.2236
Pr11 Pr 0.6979 0.2236 0.0027
Pr12 Pr 0.8021 0.9973 0.7764
Tm1 Tm 0.2500 0.1442 0.8558
Tm2 Tm 0.7500 0.8558 0.1442
Tl1 Tl 0.4011 0.5183 0.7931
Tl2 Tl 0.0989 0.2069 0.4817
Tl3 Tl 0.5989 0.4817 0.2069
Tl4 Tl 0.9011 0.7931 0.5183
```

=====

The energy of each structure relative to the most stable one, in meV/atom, is as follows: <one> 0; <two> 31.